Record 1
! ZnRh2Se (meta-GGA SCAN, single point on PBEsol structure); values from VASP
! Space group = P4mm (99)
! Formation energy from raw total energies = -0.56 eV per formula unit
! Final energy = -25.425 eV per atom
! Density of states at the Fermi level = 2.23 states/eV/cell
! V = 14.62 A^3/atom
&SYSTEM
  ibrav = 0, nat = 4, ntyp = 3
/
ATOMIC_SPECIES
Zn 65.41 Zn.upf
Rh 102.91 Rh.upf
Se 78.96 Se.upf
CELL_PARAMETERS angstrom
3.3869 0.0000 0.0000
0.0000 3.3869 0.0000
0.0000 0.0000 5.0986
ATOMIC_POSITIONS crystal
Zn 0.0000 0.0000 0.0000
Rh 0.0000 0.0000 0.4948
Rh 0.5000 0.5000 0.1635
Se 0.5000 0.5000 0.6526

Record 2
! ZnRhSe (meta-GGA SCAN, single point on PBEsol structure); values from VASP
! Space group = F-43m (216)
! Formation energy from raw total energies = 0.58 eV per formula unit
! Final energy = -22.263 eV per atom
! Density of states at the Fermi level = 6.95 states/eV/cell
! Distance to the lowest polymorph of the same formula = 0.234 eV per atom
! V = 16.91 A^3/atom
&SYSTEM
  ibrav = 0, nat = 12, ntyp = 3
/
ATOMIC_SPECIES
Zn 65.41 Zn.upf
Rh 102.91 Rh.upf
Se 78.96 Se.upf
CELL_PARAMETERS angstrom
5.8759 0.0000 0.0000
0.0000 5.8759 0.0000
0.0000 0.0000 5.8759
ATOMIC_POSITIONS crystal
Zn 0.0000 0.0000 0.0000
Zn 0.0000 0.5000 0.5000
Zn 0.5000 0.0000 0.5000
Zn 0.5000 0.5000 0.0000
Rh 0.2500 0.2500 0.7500
Rh 0.2500 0.7500 0.2500
Rh 0.7500 0.2500 0.2500
Rh 0.7500 0.7500 0.7500
Se 0.2500 0.2500 0.2500
Se 0.2500 0.7500 0.7500
Se 0.7500 0.2500 0.7500
Se 0.7500 0.7500 0.2500